VASP calculation (GGA-PBE) on a relaxed structure of U2BeGe3Ir4.

Cell: 4.106 4.106 10.281 Å, 90.00 90.00 90.00°
Space group P-4m2 (No. 115)
Symmetry-distinct sites (fractional):
U1 0.000 0.500 0.235 x2
Be1 0.500 0.500 0.000 x1
Ge1 0.000 0.000 0.000 x1
Ge2 0.000 0.500 0.634 x2
Ir1 0.000 0.000 0.500 x1
Ir2 0.000 0.500 0.869 x2
Ir3 0.500 0.500 0.500 x1

## Properties
Formation enthalpy at 0 K: -0.4511 eV per atom